Density functional theory data (GGA-PBEsol) for crystalline LiTiSi2 at its relaxed geometry.

```
data_LiTiSi2
_chemical_formula_sum 'Li1 Ti1 Si2'
_cell_length_a 4.311
_cell_length_b 4.311
_cell_length_c 4.311
_cell_angle_alpha 60.00
_cell_angle_beta 60.00
_cell_angle_gamma 60.00
_symmetry_space_group_name_H-M 'P 1'
_symmetry_Int_Tables_number 1
loop_
_symmetry_equiv_pos_as_xyz
'x,y,z'
loop_
_atom_site_label
_atom_site_type_symbol
_atom_site_fract_x
_atom_site_fract_y
_atom_site_fract_z
_atom_site_occupancy
Li1 Li 0.000 0.000 0.000 1
Ti1 Ti 0.500 0.500 0.500 1
Si1 Si 0.250 0.250 0.250 1
Si2 Si 0.750 0.750 0.750 1
```

Output
Volume   56.6 Å³ per cell
Calculated total energy   -5.595 eV per atom
Energy relative to the elements, uncorrected   -149 meV/atom



Density functional theory data (GGA-PBEsol) for crystalline OsRh2 at its relaxed geometry.

```
data_OsRh2
_chemical_formula_sum 'Os4 Rh8'
_cell_length_a 11.652
_cell_length_b 11.652
_cell_length_c 11.652
_cell_angle_alpha 161.25
_cell_angle_beta 161.25
_cell_angle_gamma 26.64
_symmetry_space_group_name_H-M 'P 1'
_symmetry_Int_Tables_number 1
loop_
_symmetry_equiv_pos_as_xyz
'x,y,z'
loop_
_atom_site_label
_atom_site_type_symbol
_atom_site_fract_x
_atom_site_fract_y
_atom_site_fract_z
_atom_site_occupancy
Os1 Os 0.289 0.539 0.750 1
Os2 Os 0.461 0.711 0.750 1
Os3 Os 0.539 0.289 0.250 1
Os4 Os 0.711 0.461 0.250 1
Rh1 Rh 0.041 0.791 0.250 1
Rh2 Rh 0.123 0.373 0.750 1
Rh3 Rh 0.209 0.959 0.250 1
Rh4 Rh 0.373 0.123 0.250 1
Rh5 Rh 0.627 0.877 0.750 1
Rh6 Rh 0.791 0.041 0.750 1
Rh7 Rh 0.877 0.627 0.250 1
Rh8 Rh 0.959 0.209 0.750 1
```

Output
ΔE to the lowest computed polymorph   45.9 meV per atom
Volume   163.5 Å³ per cell
Calculated total energy   -9.447 eV per atom



Density functional theory data (GGA-PBEsol) for crystalline Sc2BRu at its relaxed geometry.

```
data_Sc2BRu
_chemical_formula_sum 'Sc2 B1 Ru1'
_cell_length_a 8.109
_cell_length_b 8.109
_cell_length_c 8.109
_cell_angle_alpha 21.76
_cell_angle_beta 21.76
_cell_angle_gamma 21.76
_symmetry_space_group_name_H-M 'P 1'
_symmetry_Int_Tables_number 1
loop_
_symmetry_equiv_pos_as_xyz
'x,y,z'
loop_
_atom_site_label
_atom_site_type_symbol
_atom_site_fract_x
_atom_site_fract_y
_atom_site_fract_z
_atom_site_occupancy
Sc1 Sc 0.099 0.099 0.099 1
Sc2 Sc 0.901 0.901 0.901 1
B1 B 0.500 0.500 0.500 1
Ru1 Ru 0.000 0.000 0.000 1
```

Output
Volume   64.2 Å³ per cell
Calculated total energy   -7.300 eV per atom



Density functional theory data (GGA-PBEsol) for crystalline HgRh at its relaxed geometry.

```
data_HgRh
_chemical_formula_sum 'Hg2 Rh2'
_cell_length_a 4.288
_cell_length_b 4.288
_cell_length_c 4.915
_cell_angle_alpha 90.00
_cell_angle_beta 90.00
_cell_angle_gamma 120.00
_symmetry_space_group_name_H-M 'P 1'
_symmetry_Int_Tables_number 1
loop_
_symmetry_equiv_pos_as_xyz
'x,y,z'
loop_
_atom_site_label
_atom_site_type_symbol
_atom_site_fract_x
_atom_site_fract_y
_atom_site_fract_z
_atom_site_occupancy
Hg1 Hg 0.333 0.667 0.250 1
Hg2 Hg 0.667 0.333 0.750 1
Rh1 Rh 0.000 0.000 0.000 1
Rh2 Rh 0.000 0.000 0.500 1
```

Output
Volume   78.3 Å³ per cell
Calculated total energy   -3.849 eV per atom



Density functional theory data (GGA-PBEsol) for crystalline BaSn3I at its relaxed geometry.

```
data_BaSn3I
_chemical_formula_sum 'Ba1 Sn3 I1'
_cell_length_a 6.217
_cell_length_b 6.217
_cell_length_c 6.217
_cell_angle_alpha 90.00
_cell_angle_beta 90.00
_cell_angle_gamma 90.00
_symmetry_space_group_name_H-M 'P 1'
_symmetry_Int_Tables_number 1
loop_
_symmetry_equiv_pos_as_xyz
'x,y,z'
loop_
_atom_site_label
_atom_site_type_symbol
_atom_site_fract_x
_atom_site_fract_y
_atom_site_fract_z
_atom_site_occupancy
Ba1 Ba 0.000 0.000 0.000 1
Sn1 Sn 0.000 0.000 0.500 1
Sn2 Sn 0.000 0.500 0.000 1
Sn3 Sn 0.500 0.000 0.000 1
I1 I 0.500 0.500 0.500 1
```

Output
Volume   240.3 Å³ per cell
Calculated total energy   -2.385 eV per atom
Energy relative to the elements, uncorrected   954 meV/atom



Density functional theory data (GGA-PBEsol) for crystalline ZnFeBr2 at its relaxed geometry.

```
data_ZnFeBr2
_chemical_formula_sum 'Zn1 Fe1 Br2'
_cell_length_a 3.407
_cell_length_b 3.407
_cell_length_c 8.644
_cell_angle_alpha 90.00
_cell_angle_beta 90.00
_cell_angle_gamma 118.42
_symmetry_space_group_name_H-M 'P 1'
_symmetry_Int_Tables_number 1
loop_
_symmetry_equiv_pos_as_xyz
'x,y,z'
loop_
_atom_site_label
_atom_site_type_symbol
_atom_site_fract_x
_atom_site_fract_y
_atom_site_fract_z
_atom_site_occupancy
Zn1 Zn 0.000 0.000 0.000 1
Fe1 Fe 0.500 0.500 0.784 1
Br1 Br 0.000 0.000 0.590 1
Br2 Br 0.500 0.500 0.198 1
```

Output
ΔE to the lowest computed polymorph   0.0 meV per atom
Volume   88.2 Å³ per cell
Calculated total energy   -3.502 eV per atom
Energy relative to the elements, uncorrected   69 meV/atom



Density functional theory data (GGA-PBEsol) for crystalline BaTl2Au2 at its relaxed geometry.

```
data_BaTl2Au2
_chemical_formula_sum 'Ba1 Tl2 Au2'
_cell_length_a 6.272
_cell_length_b 6.272
_cell_length_c 6.272
_cell_angle_alpha 130.84
_cell_angle_beta 130.84
_cell_angle_gamma 72.07
_symmetry_space_group_name_H-M 'P 1'
_symmetry_Int_Tables_number 1
loop_
_symmetry_equiv_pos_as_xyz
'x,y,z'
loop_
_atom_site_label
_atom_site_type_symbol
_atom_site_fract_x
_atom_site_fract_y
_atom_site_fract_z
_atom_site_occupancy
Ba1 Ba 0.000 0.000 0.000 1
Tl1 Tl 0.356 0.356 0.000 1
Tl2 Tl 0.644 0.644 0.000 1
Au1 Au 0.250 0.750 0.500 1
Au2 Au 0.750 0.250 0.500 1
```

Output
Volume   138.1 Å³ per cell
Calculated total energy   -3.397 eV per atom



Density functional theory data (GGA-PBEsol) for crystalline SrIn2Os at its relaxed geometry.

```
data_SrIn2Os
_chemical_formula_sum 'Sr1 In2 Os1'
_cell_length_a 9.703
_cell_length_b 9.703
_cell_length_c 9.703
_cell_angle_alpha 19.90
_cell_angle_beta 19.90
_cell_angle_gamma 19.90
_symmetry_space_group_name_H-M 'P 1'
_symmetry_Int_Tables_number 1
loop_
_symmetry_equiv_pos_as_xyz
'x,y,z'
loop_
_atom_site_label
_atom_site_type_symbol
_atom_site_fract_x
_atom_site_fract_y
_atom_site_fract_z
_atom_site_occupancy
Sr1 Sr 0.000 0.000 0.000 1
In1 In 0.235 0.235 0.235 1
In2 In 0.765 0.765 0.765 1
Os1 Os 0.500 0.500 0.500 1
```

Output
Volume   92.5 Å³ per cell
Calculated total energy   -4.575 eV per atom



Density functional theory data (GGA-PBEsol) for crystalline ScTlRh at its relaxed geometry.

```
data_ScTlRh
_chemical_formula_sum 'Sc1 Tl1 Rh1'
_cell_length_a 4.479
_cell_length_b 4.479
_cell_length_c 4.479
_cell_angle_alpha 60.00
_cell_angle_beta 60.00
_cell_angle_gamma 60.00
_symmetry_space_group_name_H-M 'P 1'
_symmetry_Int_Tables_number 1
loop_
_symmetry_equiv_pos_as_xyz
'x,y,z'
loop_
_atom_site_label
_atom_site_type_symbol
_atom_site_fract_x
_atom_site_fract_y
_atom_site_fract_z
_atom_site_occupancy
Sc1 Sc 0.000 0.000 0.000 1
Tl1 Tl 0.500 0.500 0.500 1
Rh1 Rh 0.750 0.750 0.750 1
```

Output
Volume   63.5 Å³ per cell
Calculated total energy   -6.156 eV per atom



Density functional theory data (GGA-PBEsol) for crystalline MoAuSe2 at its relaxed geometry.

```
data_MoAuSe2
_chemical_formula_sum 'Mo1 Au1 Se2'
_cell_length_a 2.633
_cell_length_b 4.475
_cell_length_c 6.175
_cell_angle_alpha 90.00
_cell_angle_beta 90.00
_cell_angle_gamma 90.00
_symmetry_space_group_name_H-M 'P 1'
_symmetry_Int_Tables_number 1
loop_
_symmetry_equiv_pos_as_xyz
'x,y,z'
loop_
_atom_site_label
_atom_site_type_symbol
_atom_site_fract_x
_atom_site_fract_y
_atom_site_fract_z
_atom_site_occupancy
Mo1 Mo 0.000 0.000 0.000 1
Au1 Au 0.000 0.000 0.500 1
Se1 Se 0.000 0.500 0.231 1
Se2 Se 0.000 0.500 0.769 1
```

Output
ΔE to the lowest computed polymorph   296.4 meV per atom
Volume   72.8 Å³ per cell
Calculated total energy   -5.514 eV per atom
Energy relative to the elements, uncorrected   334 meV/atom



Density functional theory data (GGA-PBEsol) for crystalline TeAs2Cl at its relaxed geometry.

```
data_TeAs2Cl
_chemical_formula_sum 'Te1 As2 Cl1'
_cell_length_a 5.183
_cell_length_b 5.183
_cell_length_c 7.201
_cell_angle_alpha 120.53
_cell_angle_beta 120.53
_cell_angle_gamma 40.82
_symmetry_space_group_name_H-M 'P 1'
_symmetry_Int_Tables_number 1
loop_
_symmetry_equiv_pos_as_xyz
'x,y,z'
loop_
_atom_site_label
_atom_site_type_symbol
_atom_site_fract_x
_atom_site_fract_y
_atom_site_fract_z
_atom_site_occupancy
Te1 Te 0.000 0.000 0.000 1
As1 As 0.213 0.213 0.841 1
As2 As 0.787 0.787 0.159 1
Cl1 Cl 0.500 0.500 0.500 1
```

Output
ΔE to the lowest computed polymorph   0.0 meV per atom
Volume   106.3 Å³ per cell
Calculated total energy   -3.873 eV per atom
Energy relative to the elements, uncorrected   63 meV/atom



Density functional theory data (GGA-PBEsol) for crystalline YScHg2 at its relaxed geometry.

```
data_YScHg2
_chemical_formula_sum 'Y1 Sc1 Hg2'
_cell_length_a 4.855
_cell_length_b 4.855
_cell_length_c 6.199
_cell_angle_alpha 102.54
_cell_angle_beta 102.54
_cell_angle_gamma 43.48
_symmetry_space_group_name_H-M 'P 1'
_symmetry_Int_Tables_number 1
loop_
_symmetry_equiv_pos_as_xyz
'x,y,z'
loop_
_atom_site_label
_atom_site_type_symbol
_atom_site_fract_x
_atom_site_fract_y
_atom_site_fract_z
_atom_site_occupancy
Y1 Y 0.000 0.000 0.000 1
Sc1 Sc 0.500 0.500 0.500 1
Hg1 Hg 0.246 0.246 0.723 1
Hg2 Hg 0.754 0.754 0.277 1
```

Output
ΔE to the lowest computed polymorph   168.1 meV per atom
Volume   97.7 Å³ per cell
Calculated total energy   -4.046 eV per atom



Density functional theory data (GGA-PBEsol) for crystalline Li2PdS2 at its relaxed geometry.

```
data_Li2PdS2
_chemical_formula_sum 'Li2 Pd1 S2'
_cell_length_a 4.946
_cell_length_b 4.946
_cell_length_c 4.946
_cell_angle_alpha 122.31
_cell_angle_beta 122.31
_cell_angle_gamma 86.04
_symmetry_space_group_name_H-M 'P 1'
_symmetry_Int_Tables_number 1
loop_
_symmetry_equiv_pos_as_xyz
'x,y,z'
loop_
_atom_site_label
_atom_site_type_symbol
_atom_site_fract_x
_atom_site_fract_y
_atom_site_fract_z
_atom_site_occupancy
Li1 Li 0.250 0.750 0.500 1
Li2 Li 0.750 0.250 0.500 1
Pd1 Pd 0.000 0.000 0.000 1
S1 S 0.313 0.313 0.000 1
S2 S 0.687 0.687 0.000 1
```

Output
Volume   82.3 Å³ per cell
Calculated total energy   -4.217 eV per atom
Energy relative to the elements, uncorrected   -485 meV/atom



Density functional theory data (GGA-PBEsol) for crystalline NiMoP2 at its relaxed geometry.

```
data_NiMoP2
_chemical_formula_sum 'Ni1 Mo1 P2'
_cell_length_a 4.140
_cell_length_b 4.140
_cell_length_c 4.140
_cell_angle_alpha 60.00
_cell_angle_beta 60.00
_cell_angle_gamma 60.00
_symmetry_space_group_name_H-M 'P 1'
_symmetry_Int_Tables_number 1
loop_
_symmetry_equiv_pos_as_xyz
'x,y,z'
loop_
_atom_site_label
_atom_site_type_symbol
_atom_site_fract_x
_atom_site_fract_y
_atom_site_fract_z
_atom_site_occupancy
Ni1 Ni 0.000 0.000 0.000 1
Mo1 Mo 0.500 0.500 0.500 1
P1 P 0.250 0.250 0.250 1
P2 P 0.750 0.750 0.750 1
```

Output
Volume   50.2 Å³ per cell
Calculated total energy   -7.497 eV per atom